1.
# Re2AgPb PBE-GGA relaxed
data_Re2AgPb
_cell_length_a 8.312
_cell_length_b 3.181
_cell_length_c 6.204
_cell_angle_alpha 90.00
_cell_angle_beta 99.06
_cell_angle_gamma 90.00
_space_group_name_H-M_alt 'C 1 m 1'
_space_group_IT_number 8
loop_
_space_group_symop_operation_xyz
'x,y,z'
'x,-y,z'
'x+1/2,y+1/2,z'
'x+1/2,-y+1/2,z'
loop_
_atom_site_label
_atom_site_type_symbol
_atom_site_fract_x
_atom_site_fract_y
_atom_site_fract_z
_atom_site_occupancy
Re1 Re 0.000 0.000 0.000 1
Re2 Re 0.219 0.500 0.132 1
Ag1 Ag 0.252 0.000 0.735 1
Pb1 Pb 0.484 0.000 0.439 1
# V = 162.0 Å³ per cell
# spin magnetization = 0.00 μB per formula unit
# E_form = 0.80 eV/atom

---

2.
# ReAgPb2 PBE-GGA relaxed
data_ReAgPb2
_cell_length_a 4.841
_cell_length_b 3.310
_cell_length_c 5.874
_cell_angle_alpha 90.00
_cell_angle_beta 113.36
_cell_angle_gamma 90.00
_space_group_name_H-M_alt 'P 1 2/m 1'
_space_group_IT_number 10
loop_
_space_group_symop_operation_xyz
'x,y,z'
'-x,-y,-z'
'-x,y,-z'
'x,-y,z'
loop_
_atom_site_label
_atom_site_type_symbol
_atom_site_fract_x
_atom_site_fract_y
_atom_site_fract_z
_atom_site_occupancy
Re1 Re 0.000 0.000 0.000 1
Ag1 Ag 0.000 0.500 0.500 1
Pb1 Pb 0.500 0.000 0.500 1
Pb2 Pb 0.500 0.500 0.000 1
# V = 86.4 Å³ per cell
# energy relative to the lowest polymorph listed for this composition = 4.63 kcal/mol of atoms
# spin magnetization = 0.73 μB per formula unit
# E_form = 0.89 eV/atom

---

3.
# ReAgPb2 PBE-GGA relaxed
data_ReAgPb2
_cell_length_a 3.494
_cell_length_b 3.494
_cell_length_c 7.443
_cell_angle_alpha 90.00
_cell_angle_beta 90.00
_cell_angle_gamma 90.00
_space_group_name_H-M_alt 'P 4 m m'
_space_group_IT_number 99
loop_
_space_group_symop_operation_xyz
'x,y,z'
'-y,x,z'
'-x,-y,z'
'y,-x,z'
'-x,y,z'
'y,x,z'
'x,-y,z'
'-y,-x,z'
loop_
_atom_site_label
_atom_site_type_symbol
_atom_site_fract_x
_atom_site_fract_y
_atom_site_fract_z
_atom_site_occupancy
Re1 Re 0.000 0.000 0.000 1
Ag1 Ag 0.500 0.500 0.191 1
Pb1 Pb 0.000 0.000 0.417 1
Pb2 Pb 0.500 0.500 0.786 1
# V = 90.9 Å³ per cell
# energy relative to the lowest polymorph listed for this composition = 1.93 kcal/mol of atoms
# spin magnetization = 0.00 μB per formula unit
# E_form = 0.77 eV/atom

---

4.
# Re4AgPb PBE-GGA relaxed
data_Re4AgPb
_cell_length_a 7.523
_cell_length_b 7.523
_cell_length_c 7.523
_cell_angle_alpha 90.00
_cell_angle_beta 90.00
_cell_angle_gamma 90.00
_space_group_name_H-M_alt 'F -4 3 m'
_space_group_IT_number 216
_space_group_name_Hall 'F -4 2 3'
loop_
_atom_site_label
_atom_site_type_symbol
_atom_site_fract_x
_atom_site_fract_y
_atom_site_fract_z
_atom_site_occupancy
Re1 Re 0.124 0.124 0.124 1
Ag1 Ag 0.250 0.250 0.750 1
Pb1 Pb 0.000 0.000 0.500 1
# V = 425.8 Å³ per cell
# spin magnetization = 0.00 μB per formula unit
# E_form = 0.87 eV/atom

---

5.
# Re3AgPb PBE-GGA relaxed
data_Re3AgPb
_cell_length_a 4.849
_cell_length_b 4.849
_cell_length_c 4.849
_cell_angle_alpha 90.00
_cell_angle_beta 90.00
_cell_angle_gamma 90.00
_space_group_name_H-M_alt 'P m -3 m'
_space_group_IT_number 221
_space_group_name_Hall '-P 4 2 3'
loop_
_atom_site_label
_atom_site_type_symbol
_atom_site_fract_x
_atom_site_fract_y
_atom_site_fract_z
_atom_site_occupancy
Re1 Re 0.000 0.000 0.500 1
Ag1 Ag 0.000 0.000 0.000 1
Pb1 Pb 0.500 0.500 0.500 1
# V = 114.0 Å³ per cell
# energy relative to the lowest polymorph listed for this composition = 0.00 kcal/mol of atoms
# spin magnetization = 4.71 μB per formula unit
# E_form = 2.85 eV/atom

---

6.
# Re2AgPb PBE-GGA relaxed
data_Re2AgPb
_cell_length_a 7.668
_cell_length_b 7.668
_cell_length_c 5.353
_cell_angle_alpha 90.00
_cell_angle_beta 90.00
_cell_angle_gamma 90.00
_space_group_name_H-M_alt 'I -4 2 d'
_space_group_IT_number 122
_space_group_name_Hall 'I -4 2bw'
loop_
_atom_site_label
_atom_site_type_symbol
_atom_site_fract_x
_atom_site_fract_y
_atom_site_fract_z
_atom_site_occupancy
Re1 Re 0.247 0.250 0.125 1
Ag1 Ag 0.000 0.000 0.000 1
Pb1 Pb 0.000 0.000 0.500 1
# V = 314.8 Å³ per cell
# spin magnetization = 2.18 μB per formula unit
# E_form = 1.55 eV/atom

---

7.
# ReAgPb2 PBE-GGA relaxed
data_ReAgPb2
_cell_length_a 4.561
_cell_length_b 3.554
_cell_length_c 10.715
_cell_angle_alpha 90.00
_cell_angle_beta 90.00
_cell_angle_gamma 90.00
_space_group_name_H-M_alt 'A m m 2'
_space_group_IT_number 38
loop_
_space_group_symop_operation_xyz
'x,y,z'
'-x,-y,z'
'-x,y,z'
'x,-y,z'
'x,y+1/2,z+1/2'
'-x,-y+1/2,z+1/2'
'-x,y+1/2,z+1/2'
'x,-y+1/2,z+1/2'
loop_
_atom_site_label
_atom_site_type_symbol
_atom_site_fract_x
_atom_site_fract_y
_atom_site_fract_z
_atom_site_occupancy
Re1 Re 0.000 0.000 0.000 1
Ag1 Ag 0.500 0.000 0.158 1
Pb1 Pb 0.000 0.000 0.723 1
Pb2 Pb 0.500 0.000 0.432 1
# V = 173.7 Å³ per cell
# energy relative to the lowest polymorph listed for this composition = 0.75 kcal/mol of atoms
# spin magnetization = 0.00 μB per formula unit
# E_form = 0.72 eV/atom

---

8.
# ReAgPb2 PBE-GGA relaxed
data_ReAgPb2
_cell_length_a 6.990
_cell_length_b 6.990
_cell_length_c 6.990
_cell_angle_alpha 90.00
_cell_angle_beta 90.00
_cell_angle_gamma 90.00
_space_group_name_H-M_alt 'F m -3 m'
_space_group_IT_number 225
_space_group_name_Hall '-F 4 2 3'
loop_
_atom_site_label
_atom_site_type_symbol
_atom_site_fract_x
_atom_site_fract_y
_atom_site_fract_z
_atom_site_occupancy
Re1 Re 0.000 0.000 0.000 1
Ag1 Ag 0.000 0.000 0.500 1
Pb1 Pb 0.250 0.250 0.250 1
# V = 341.6 Å³ per cell
# energy relative to the lowest polymorph listed for this composition = 5.01 kcal/mol of atoms
# spin magnetization = 0.00 μB per formula unit
# E_form = 0.91 eV/atom